# 1
FeCoAu3 | GGA-PBEsol | optimized geometry

Computed properties:
Energy relative to the elements, meV/atom: 1243

abc: 4.625 4.625 4.625
angles: 90.00 90.00 90.00
Space group Pm-3m (No. 221)
Unique sites:
Fe  0.000  0.000  0.000
Co  0.500  0.500  0.500
Au  0.000  0.500  0.500

=====

# 2
FeCoAu2 | GGA-PBEsol | optimized geometry

Computed properties:
Energy relative to the elements, meV/atom: 166

abc: 9.205 2.879 4.507
angles: 90.00 109.24 90.00
Space group Cm (No. 8)
Unique sites:
Fe  0.000  0.000  0.000
Co  0.199  0.500  0.245
Au  0.238  0.000  0.775
Au  0.458  0.000  0.465

=====

# 3
FeCoAu2 | GGA-PBEsol | optimized geometry

Computed properties:
Energy relative to the elements, meV/atom: 281

abc: 6.082 6.082 6.082
angles: 90.00 90.00 90.00
Space group Fm-3m (No. 225)
Unique sites:
Fe  0.000  0.000  0.000
Co  0.000  0.000  0.500
Au  0.250  0.250  0.250

=====

# 4
FeCo2Au | GGA-PBEsol | optimized geometry

Computed properties:
Energy relative to the elements, meV/atom: 118

abc: 2.672 3.465 5.333
angles: 90.00 90.00 90.00
Space group Pmm2 (No. 25)
Unique sites:
Fe  0.000  0.000  0.000
Co  0.000  0.000  0.571
Co  0.500  0.500  0.776
Au  0.500  0.500  0.285

=====

# 5
FeCo2Au | GGA-PBEsol | optimized geometry

Computed properties:
Energy relative to the elements, meV/atom: 123

abc: 3.657 3.657 7.336
angles: 90.00 90.00 90.00
Space group I-4m2 (No. 119)
Unique sites:
Fe  0.000  0.000  0.000
Co  0.000  0.000  0.500
Co  0.000  0.500  0.250
Au  0.000  0.500  0.750

=====

# 6
Fe2CoTeAu | GGA-PBEsol | optimized geometry

Computed properties:
Formation energy from raw total energies, meV/atom: 869

abc: 4.331 4.331 4.751
angles: 90.00 90.00 90.00
Space group P4/mmm (No. 123)
Unique sites:
Fe  0.000  0.500  0.000
Co  0.000  0.000  0.000
Te  0.500  0.500  0.500
Au  0.000  0.000  0.500

=====

# 7
Ga2Co2Au | GGA-PBEsol | optimized geometry

Computed properties:
Energy relative to the elements, meV/atom: 132

abc: 3.564 3.564 10.969
angles: 90.00 90.00 90.00
Space group I4/mmm (No. 139)
Unique sites:
Ga  0.000  0.500  0.250
Co  0.000  0.000  0.101
Au  0.000  0.000  0.500

=====

# 8
Co2H2Au | GGA-PBEsol | optimized geometry

Computed properties:
Total energy, eV/atom: -5.1016

abc: 2.820 2.820 10.719
angles: 90.00 90.00 90.00
Space group I4/mmm (No. 139)
Unique sites:
Co  0.000  0.000  0.167
H  0.000  0.500  0.250
Au  0.000  0.000  0.500